Entry 1:
! SmHRh3 (PBE-GGA, optimized geometry); values from VASP
! Total DFT energy (no corrections), eV/atom: -6.454
&SYSTEM
  ibrav = 0, nat = 5, ntyp = 3
/
ATOMIC_SPECIES
Sm 150.36 Sm.upf
H 1.01 H.upf
Rh 102.91 Rh.upf
CELL_PARAMETERS angstrom
4.125 0.000 0.000
0.000 4.125 0.000
0.000 0.000 4.125
ATOMIC_POSITIONS crystal
Sm 0.000 0.000 0.000
H 0.500 0.500 0.500
Rh 0.000 0.500 0.500
Rh 0.500 0.000 0.500
Rh 0.500 0.500 0.000

***

Entry 2:
! Sm2Ho3Te6 (PBE-GGA, optimized geometry); values from VASP
! Total DFT energy (no corrections), eV/atom: -5.225
! ΔE_f (raw), eV/atom: -1.405
&SYSTEM
  ibrav = 0, nat = 11, ntyp = 3
/
ATOMIC_SPECIES
Sm 150.36 Sm.upf
Ho 164.93 Ho.upf
Te 127.60 Te.upf
CELL_PARAMETERS angstrom
3.784 -6.517 0.000
3.784 6.517 0.000
-2.530 0.000 7.114
ATOMIC_POSITIONS crystal
Sm 0.164 0.836 0.000
Sm 0.836 0.164 0.000
Ho 0.000 0.000 0.500
Ho 0.329 0.671 0.500
Ho 0.671 0.329 0.500
Te 0.096 0.418 0.750
Te 0.263 0.263 0.253
Te 0.418 0.096 0.750
Te 0.582 0.904 0.250
Te 0.737 0.737 0.747
Te 0.904 0.582 0.250

***

Entry 3:
! SmNbTcGe2 (PBE-GGA, optimized geometry); values from VASP
! Total DFT energy (no corrections), eV/atom: -7.407
&SYSTEM
  ibrav = 0, nat = 5, ntyp = 4
/
ATOMIC_SPECIES
Sm 150.36 Sm.upf
Nb 92.91 Nb.upf
Tc 98.00 Tc.upf
Ge 72.64 Ge.upf
CELL_PARAMETERS angstrom
-2.036 2.036 5.821
2.036 -2.036 5.821
2.036 2.036 -5.821
ATOMIC_POSITIONS crystal
Sm 0.000 0.000 0.000
Nb 0.250 0.750 0.500
Tc 0.750 0.250 0.500
Ge 0.391 0.391 0.000
Ge 0.609 0.609 0.000

***

Entry 4:
! CaTb3Er (PBE-GGA, optimized geometry); values from VASP
! Total DFT energy (no corrections), eV/atom: -3.757
&SYSTEM
  ibrav = 0, nat = 10, ntyp = 3
/
ATOMIC_SPECIES
Ca 40.08 Ca.upf
Tb 158.93 Tb.upf
Er 167.26 Er.upf
CELL_PARAMETERS angstrom
3.309 -8.977 0.000
3.309 8.977 0.000
0.000 0.000 6.334
ATOMIC_POSITIONS crystal
Ca 0.186 0.814 0.750
Ca 0.814 0.186 0.250
Tb 0.000 0.000 0.000
Tb 0.000 0.000 0.500
Tb 0.128 0.390 0.750
Tb 0.390 0.128 0.250
Tb 0.610 0.872 0.750
Tb 0.872 0.610 0.250
Er 0.451 0.549 0.250
Er 0.549 0.451 0.750

***

Entry 5:
! SmGe2IrPd (PBE-GGA, optimized geometry); values from VASP
! Total DFT energy (no corrections), eV/atom: -6.339
&SYSTEM
  ibrav = 0, nat = 5, ntyp = 4
/
ATOMIC_SPECIES
Sm 150.36 Sm.upf
Ge 72.64 Ge.upf
Ir 192.22 Ir.upf
Pd 106.42 Pd.upf
CELL_PARAMETERS angstrom
-2.105 2.105 5.234
2.105 -2.105 5.234
2.105 2.105 -5.234
ATOMIC_POSITIONS crystal
Sm 0.000 0.000 0.000
Ge 0.380 0.380 0.000
Ge 0.620 0.620 0.000
Ir 0.250 0.750 0.500
Pd 0.750 0.250 0.500

***

Entry 6:
! K4PdAu (PBE-GGA, optimized geometry); values from VASP
! Total DFT energy (no corrections), eV/atom: -2.188
&SYSTEM
  ibrav = 0, nat = 12, ntyp = 3
/
ATOMIC_SPECIES
K 39.10 K.upf
Pd 106.42 Pd.upf
Au 196.97 Au.upf
CELL_PARAMETERS angstrom
-3.908 3.908 7.868
3.908 -3.908 7.868
3.908 3.908 -7.868
ATOMIC_POSITIONS crystal
K 0.075 0.575 0.911
K 0.164 0.075 0.500
K 0.336 0.836 0.911
K 0.425 0.336 0.500
K 0.575 0.664 0.500
K 0.664 0.164 0.089
K 0.836 0.925 0.500
K 0.925 0.425 0.089
Pd 0.250 0.250 0.000
Pd 0.750 0.750 0.000
Au 0.000 0.000 0.000
Au 0.500 0.500 0.000

***

Entry 7:
! InTeN (PBE-GGA, optimized geometry); values from VASP
! Total DFT energy (no corrections), eV/atom: -4.351
! ΔE_f (raw), eV/atom: 0.384
&SYSTEM
  ibrav = 0, nat = 12, ntyp = 3
/
ATOMIC_SPECIES
In 114.82 In.upf
Te 127.60 Te.upf
N 14.01 N.upf
CELL_PARAMETERS angstrom
6.780 0.000 0.000
0.000 4.574 0.000
0.000 0.000 9.918
ATOMIC_POSITIONS crystal
In 0.096 0.250 0.178
In 0.404 0.750 0.678
In 0.596 0.250 0.322
In 0.904 0.750 0.822
Te 0.208 0.250 0.546
Te 0.292 0.750 0.046
Te 0.708 0.250 0.954
Te 0.792 0.750 0.454
N 0.214 0.750 0.847
N 0.286 0.250 0.347
N 0.714 0.750 0.653
N 0.786 0.250 0.153

***

Entry 8:
! Ac6TeAs3S2 (PBE-GGA, optimized geometry); values from VASP
! Total DFT energy (no corrections), eV/atom: -5.848
! ΔE_f (raw), eV/atom: -1.681
&SYSTEM
  ibrav = 0, nat = 12, ntyp = 4
/
ATOMIC_SPECIES
Ac 227.00 Ac.upf
Te 127.60 Te.upf
As 74.92 As.upf
S 32.06 S.upf
CELL_PARAMETERS angstrom
9.816 -2.255 0.000
9.816 2.255 0.000
-2.044 0.000 8.785
ATOMIC_POSITIONS crystal
Ac 0.002 0.002 0.268
Ac 0.327 0.327 0.913
Ac 0.333 0.333 0.417
Ac 0.667 0.667 0.583
Ac 0.673 0.673 0.087
Ac 0.998 0.998 0.732
Te 0.500 0.500 0.000
As 0.164 0.164 0.832
As 0.500 0.500 0.500
As 0.836 0.836 0.168
S 0.169 0.169 0.335
S 0.831 0.831 0.665